1.
DFT (PBE-GGA) results for a geometry-optimized TbTmInRh structure.

## Properties
As for the total energy: -22.0 eV/f.u. The calculation puts the formation enthalpy at 0 K at -66.92 kJ per mole of atoms. The symmetry is P4mm (99). Its energy above the most stable polymorph in this dataset is 0 meV/atom.

Structure (CIF):
```
data_TbTmInRh
_symmetry_space_group_name_H-M 'P 1'
_symmetry_Int_Tables_number 1
_cell_length_a 3.508
_cell_length_b 3.508
_cell_length_c 7.520
_cell_angle_alpha 90.00
_cell_angle_beta 90.00
_cell_angle_gamma 90.00
loop_
_symmetry_equiv_pos_as_xyz
'x,y,z'
loop_
_atom_site_label
_atom_site_fract_x
_atom_site_fract_y
_atom_site_fract_z
Tb1 0.000 0.000 0.000
Tm1 0.000 0.000 0.567
In1 0.500 0.500 0.289
Rh1 0.500 0.500 0.772
```


2.
DFT (PBE-GGA) results for a geometry-optimized TbTm2InRh4 structure.

## Properties
As for the total energy: -52.5 eV/f.u. The calculation puts the formation enthalpy at 0 K at -81.65 kJ per mole of atoms. The symmetry is R-3m (166).

Structure (CIF):
```
data_TbTm2InRh4
_symmetry_space_group_name_H-M 'P 1'
_symmetry_Int_Tables_number 1
_cell_length_a 8.191
_cell_length_b 8.191
_cell_length_c 8.191
_cell_angle_alpha 33.72
_cell_angle_beta 33.72
_cell_angle_gamma 33.72
loop_
_symmetry_equiv_pos_as_xyz
'x,y,z'
loop_
_atom_site_label
_atom_site_fract_x
_atom_site_fract_y
_atom_site_fract_z
Tb1 0.000 0.000 0.000
Tm1 0.245 0.245 0.245
Tm2 0.755 0.755 0.755
In1 0.500 0.500 0.500
Rh1 0.124 0.124 0.124
Rh2 0.376 0.376 0.376
Rh3 0.624 0.624 0.624
Rh4 0.876 0.876 0.876
```


Question: Which of these has the lowest formation enthalpy at 0 K?
Answer: TbTm2InRh4


Question: Among the records above, which one has the lowest formation enthalpy at 0 K?
Answer: TbTm2InRh4


Question: Which of these has the lowest formation enthalpy at 0 K?
Answer: TbTm2InRh4